# GGA-PBE AlRe4Pb, relaxed
data_AlRe4Pb
_chemical_formula_sum 'Al1 Re4 Pb1'
_symmetry_space_group_name_H-M 'P 1'
_symmetry_Int_Tables_number 1
_symmetry_space_group_name_Hall 'P 1'
_cell_length_a 5.3024
_cell_length_b 5.3024
_cell_length_c 5.3024
_cell_angle_alpha 60.00
_cell_angle_beta 60.00
_cell_angle_gamma 60.00
loop_
_atom_site_label
_atom_site_type_symbol
_atom_site_fract_x
_atom_site_fract_y
_atom_site_fract_z
_atom_site_occupancy
Al1 Al 0.7500 0.7500 0.7500 1
Re1 Re 0.8739 0.3754 0.3754 1
Re2 Re 0.3754 0.3754 0.8739 1
Re3 Re 0.3754 0.8739 0.3754 1
Re4 Re 0.3754 0.3754 0.3754 1
Pb1 Pb 0.0000 0.0000 0.0000 1
# - Symmetry: F-43m (216)
# - Magnetization: 0.00 μB/atom
# - Formation enthalpy at 0 K: 667 meV/atom

# GGA-PBE Mg3Cd2Pd, relaxed
data_Mg3Cd2Pd
_chemical_formula_sum 'Mg6 Cd4 Pd2'
_symmetry_space_group_name_H-M 'P 1'
_symmetry_Int_Tables_number 1
_symmetry_space_group_name_Hall 'P 1'
_cell_length_a 4.6132
_cell_length_b 8.1648
_cell_length_c 8.1648
_cell_angle_alpha 115.91
_cell_angle_beta 106.59
_cell_angle_gamma 106.59
loop_
_atom_site_label
_atom_site_type_symbol
_atom_site_fract_x
_atom_site_fract_y
_atom_site_fract_z
_atom_site_occupancy
Mg1 Mg 0.0373 0.2118 0.3643 1
Mg2 Mg 0.5373 0.3643 0.2118 1
Mg3 Mg 0.0000 0.5000 0.0000 1
Mg4 Mg 0.9627 0.7882 0.6357 1
Mg5 Mg 0.5000 0.0000 0.5000 1
Mg6 Mg 0.4627 0.6357 0.7882 1
Cd1 Cd 0.2500 0.9207 0.0793 1
Cd2 Cd 0.2500 0.2424 0.7576 1
Cd3 Cd 0.7500 0.0793 0.9207 1
Cd4 Cd 0.7500 0.7576 0.2424 1
Pd1 Pd 0.2500 0.5937 0.4063 1
Pd2 Pd 0.7500 0.4063 0.5937 1
# - Symmetry: C2/c (15)
# - Magnetization: 0.00 μB/atom
# - ΔE to the lowest computed polymorph: 6 meV per atom
# - Formation enthalpy at 0 K: -325 meV/atom